1.
# ZnPRuS2

Crystalline ZnPRuS2 at its relaxed geometry (PBE-GGA, Alexandria via LeMat-Bulk).

a b c (Å): 4.7709 4.7709 4.4099
angles (deg): 90.00 90.00 90.00
With the nearest neighbours (Å) after each atom.
Sites, in units of the cell vectors:
Ru (0.0000, 0.0000, 0.0000)  2 P 2.20, 4 S 2.39
S (0.0000, 0.5000, 0.0000)  2 Ru 2.39
S (0.5000, 0.0000, 0.0000)  2 Ru 2.39
Zn (0.5000, 0.5000, 0.5000)  8 S 3.25, 4 P 3.37
P (0.0000, 0.0000, 0.5000)  2 Ru 2.20

## Properties
- Uncorrected formation energy: 0.5205 eV/atom
- Energy above the lowest structure with this stoichiometry: 0.00 eV/f.u.

---

2.
# AcLaSn4

Crystalline AcLaSn4 at its relaxed geometry (PBE-GGA, Alexandria via LeMat-Bulk).

a b c (Å): 6.3355 6.3355 6.3355
angles (deg): 60.00 60.00 60.00
With the nearest neighbours (Å) after each atom.
Sites, in units of the cell vectors:
La (0.2500, 0.2500, 0.2500)  12 Sn 3.71, 4 Ac 3.88
Ac (0.0000, 0.0000, 0.0000)  12 Sn 3.72, 4 La 3.88
Sn (0.6245, 0.6245, 0.6245)  6 Sn 3.16-3.18
Sn (0.6245, 0.1264, 0.6245)  6 Sn 3.16-3.18
Sn (0.1264, 0.6245, 0.6245)  6 Sn 3.16-3.18
Sn (0.6245, 0.6245, 0.1264)  6 Sn 3.16-3.18

## Properties
- Formation energy: -43 kJ per mole of atoms
- Energy above the lowest structure with this stoichiometry: 0.82 eV/f.u.

---

3.
# Ac3PtRhPb

Crystalline Ac3PtRhPb at its relaxed geometry (PBE-GGA, Alexandria via LeMat-Bulk).

a b c (Å): 4.3714 9.1768 10.9685
angles (deg): 118.89 90.00 90.00
With the nearest neighbours (Å) after each atom.
Sites, in units of the cell vectors:
Ac (0.2500, 0.5116, 0.8581)  3 Rh 3.00-3.12
Ac (0.7500, 0.2728, 0.5164)  3 Pt 3.04-3.09, 1 Rh 3.33
Ac (0.2500, 0.7272, 0.4836)  3 Pt 3.04-3.09, 1 Rh 3.33
Ac (0.7500, 0.9163, 0.1312)  2 Rh 2.98, 1 Pt 3.05
Ac (0.7500, 0.4884, 0.1419)  3 Rh 3.00-3.12
Ac (0.2500, 0.0837, 0.8688)  2 Rh 2.98, 1 Pt 3.05
Pb (0.2500, 0.2714, 0.2542)  8 Ac 3.55-3.71
Pb (0.7500, 0.7286, 0.7458)  8 Ac 3.55-3.71
Rh (0.7500, 0.2684, 0.8185)  6 Ac 2.98-3.33, 2 Pt 3.04
Rh (0.2500, 0.7316, 0.1815)  6 Ac 2.98-3.33, 2 Pt 3.04
Pt (0.2500, 0.1087, 0.6013)  2 Rh 3.04, 5 Ac 3.04-3.40, 2 Pt 3.07
Pt (0.7500, 0.8913, 0.3987)  2 Rh 3.04, 5 Ac 3.04-3.40, 2 Pt 3.07

## Properties
- Formation energy: -63 kJ per mole of atoms

---

4.
# K2NaMnNb

Crystalline K2NaMnNb at its relaxed geometry (PBE-GGA, Alexandria via LeMat-Bulk).

a b c (Å): 6.8305 4.2668 6.8305
angles (deg): 90.00 90.00 90.00
With the nearest neighbours (Å) after each atom.
Sites, in units of the cell vectors:
Nb (0.0000, 0.0000, 0.0000)  2 Mn 2.13
Mn (0.0000, 0.5000, 0.0000)  2 Nb 2.13
K (0.0000, 0.0000, 0.5000)  2 Nb 3.42
K (0.5000, 0.0000, 0.0000)  2 Nb 3.42
Na (0.5000, 0.5000, 0.5000)  8 K 4.03, 2 Na 4.27

## Properties
- Formation energy: 114 kJ per mole of atoms

---

5.
# Ba2SrIrO

Crystalline Ba2SrIrO at its relaxed geometry (PBE-GGA, Alexandria via LeMat-Bulk).

a b c (Å): 5.9182 5.6823 5.9182
angles (deg): 90.00 90.00 90.00
With the nearest neighbours (Å) after each atom.
Sites, in units of the cell vectors:
Ba (0.0000, 0.0000, 0.5000)  2 Ir 2.96
Ba (0.5000, 0.0000, 0.0000)  2 Ir 2.96
Ir (0.0000, 0.0000, 0.0000)  2 Sr 2.84, 4 Ba 2.96
O (0.5000, 0.5000, 0.5000)  8 Ba 4.10, 4 Sr 4.18
Sr (0.0000, 0.5000, 0.0000)  2 Ir 2.84

## Properties
- Uncorrected formation energy: -0.0795 eV/atom

---

6.
# UMnAs2Rh2

Crystalline UMnAs2Rh2 at its relaxed geometry (PBE-GGA, Alexandria via LeMat-Bulk).

a b c (Å): 3.7622 6.6481 7.9718
angles (deg): 90.00 90.00 90.00
With the nearest neighbours (Å) after each atom.
Sites, in units of the cell vectors:
Mn (0.5000, 0.1619, 0.6565)  4 As 2.52-2.66
Mn (0.5000, 0.6619, 0.3435)  4 As 2.52-2.66
Rh (0.0000, 0.8801, 0.8396)  4 As 2.40-2.45
Rh (0.0000, 0.3801, 0.1604)  4 As 2.40-2.45
Rh (0.5000, 0.5056, 0.8741)  3 As 2.51-2.57
Rh (0.5000, 0.0056, 0.1259)  3 As 2.51-2.57
As (0.0000, 0.2415, 0.8819)  4 Rh 2.40-2.57, 2 Mn 2.66
As (0.0000, 0.7415, 0.1181)  4 Rh 2.40-2.57, 2 Mn 2.66
As (0.5000, 0.7836, 0.6608)  3 Rh 2.45-2.51, 2 Mn 2.52-2.66
As (0.5000, 0.2836, 0.3392)  3 Rh 2.45-2.51, 2 Mn 2.52-2.66
U (0.0000, 0.4727, 0.5674)  4 Mn 2.88, 5 As 2.89-2.94, 2 Rh 3.09
U (0.0000, 0.9727, 0.4326)  4 Mn 2.88, 5 As 2.89-2.94, 2 Rh 3.09

## Properties
- Formation energy: -35 kJ per mole of atoms